Record 1
The following is a DFT calculation (PBE-GGA) of a relaxed Er2HfZrAs4 crystal.

The magnetic moment is 0.00 μB per formula unit. The value obtained for the formation energy is -1.277 eV per atom. The calculation puts the volume at 175 Å³/cell. Its total energy is -7.055 eV/atom.

Lattice parameters (Å, degrees): 3.938 6.829 6.902 109.32 90.00 90.00
Element x y z (fractional)
As 0.500 0.752 0.761
As 0.000 0.257 0.763
As 0.000 0.743 0.237
As 0.500 0.248 0.239
Zr 0.000 0.000 0.000
Er 0.000 0.500 0.500
Er 0.500 0.000 0.500
Hf 0.500 0.500 0.000

---

Record 2
The following is a DFT calculation (PBE-GGA) of a relaxed Er2HgAs2 crystal.

The magnetic moment is 0.00 μB per formula unit. The value obtained for the formation energy is -0.829 eV per atom. The calculation puts the volume at 237 Å³/cell. Its total energy is -4.574 eV/atom.

Lattice parameters (Å, degrees): 3.992 6.523 9.332 90.00 102.52 90.00
Element x y z (fractional)
Hg 0.901 0.558 0.799
Hg 0.099 0.058 0.201
Er 0.522 0.758 0.048
Er 0.478 0.258 0.952
Er 0.699 0.444 0.398
Er 0.301 0.944 0.602
As 0.311 0.391 0.621
As 0.689 0.891 0.379
As 0.084 0.483 0.171
As 0.916 0.983 0.829

---

Record 3
The following is a DFT calculation (PBE-GGA) of a relaxed Er2HgAs crystal.

The magnetic moment is 0.00 μB per formula unit. The value obtained for the formation energy is -0.907 eV per atom. The calculation puts the volume at 104 Å³/cell. Its total energy is -4.426 eV/atom.

Lattice parameters (Å, degrees): 3.956 3.956 7.996 75.68 75.68 60.00
Element x y z (fractional)
Er 0.739 0.739 0.782
Er 0.261 0.261 0.218
As 0.000 0.000 0.000
Hg 0.500 0.500 0.500

---

Record 4
The following is a DFT calculation (PBE-GGA) of a relaxed ErHgAs crystal.

The magnetic moment is 0.00 μB per formula unit. The value obtained for the formation energy is -0.631 eV per atom. The calculation puts the volume at 183 Å³/cell. Its total energy is -3.803 eV/atom.

Lattice parameters (Å, degrees): 4.807 4.807 9.550 75.42 75.42 60.00
Element x y z (fractional)
Er 0.384 0.384 0.848
Er 0.616 0.616 0.152
As 0.719 0.719 0.844
As 0.281 0.281 0.156
Hg 0.864 0.864 0.409
Hg 0.136 0.136 0.591

---

Record 5
The following is a DFT calculation (PBE-GGA) of a relaxed Er4HgAsSe2 crystal.

The magnetic moment is 0.00 μB per formula unit. The value obtained for the formation energy from raw total energies is -1.317 eV/atom. The calculation puts the volume at 197 Å³/cell. Its total energy is -5.089 eV/atom.

Lattice parameters (Å, degrees): 4.026 7.213 7.162 71.46 90.00 90.00
Element x y z (fractional)
Er 0.500 0.256 0.741
Er 0.000 0.753 0.743
Er 0.000 0.247 0.257
Er 0.500 0.744 0.259
Se 0.500 0.000 0.500
Se 0.000 0.000 0.000
As 0.000 0.500 0.500
Hg 0.500 0.500 0.000

---

Record 6
The following is a DFT calculation (PBE-GGA) of a relaxed Er6HgTe3As2 crystal.

The magnetic moment is 0.00 μB per formula unit. The value obtained for the formation energy from raw total energies is -1.230 eV/atom. The calculation puts the volume at 324 Å³/cell. Its total energy is -5.097 eV/atom.

Lattice parameters (Å, degrees): 4.155 8.652 9.520 103.54 102.60 90.00
Element x y z (fractional)
Te 0.167 0.832 0.334
Te 0.500 0.500 0.000
Te 0.833 0.168 0.666
Er 0.008 0.245 0.016
Er 0.674 0.567 0.349
Er 0.326 0.433 0.651
Er 0.992 0.755 0.984
Er 0.336 0.895 0.672
Er 0.664 0.105 0.328
As 0.832 0.663 0.664
As 0.168 0.337 0.336
Hg 0.500 0.000 0.000

---

Record 7
The following is a DFT calculation (PBE-GGA) of a relaxed HoEr2As3 crystal.

The magnetic moment is 0.00 μB per formula unit. The value obtained for the formation energy is -1.523 eV per atom. The calculation puts the volume at 145 Å³/cell. Its total energy is -6.132 eV/atom.

Lattice parameters (Å, degrees): 4.091 5.779 7.080 114.09 106.79 90.00
Element x y z (fractional)
Er 0.333 0.833 0.667
Er 0.667 0.167 0.333
As 0.333 0.333 0.665
As 0.000 0.000 0.000
As 0.667 0.667 0.335
Ho 0.000 0.500 0.000

---

Record 8
The following is a DFT calculation (PBE-GGA) of a relaxed Ho5ErAs6 crystal.

The magnetic moment is 0.00 μB per formula unit. The value obtained for the formation energy is -1.528 eV per atom. The calculation puts the volume at 292 Å³/cell. Its total energy is -6.141 eV/atom.

Lattice parameters (Å, degrees): 7.095 7.099 7.096 59.99 80.40 70.52
Element x y z (fractional)
As 0.250 0.249 0.000
As 0.250 0.917 0.667
As 0.750 0.751 0.000
As 0.750 0.083 0.333
As 0.750 0.416 0.667
As 0.250 0.584 0.333
Ho 0.000 0.333 0.333
Ho 0.500 0.500 0.000
Ho 0.000 0.667 0.667
Ho 0.500 0.167 0.666
Ho 0.500 0.833 0.334
Er 0.000 0.000 0.000